1.
Here is a crystal of Zr2Te relaxed with PBEsol from Alexandria via LeMat-Bulk. Energies are from SCAN.

Lattice parameters (Å, degrees): 3.6555 5.9694 7.0245 90.00 90.00 90.00
Closest atoms and distances in Å follow each position.
Fractional coordinates of all 6 atoms:
Te: 0.0000 0.0000 0.0000  6 Zr 2.75-2.78
Te: 0.5000 0.5000 0.5000  6 Zr 2.75-2.78
Zr: 0.0000 0.1940 0.6444  3 Te 2.75-2.78, 1 Zr 3.08
Zr: 0.0000 0.8060 0.3556  3 Te 2.75-2.78, 1 Zr 3.08
Zr: 0.5000 0.6940 0.8556  3 Te 2.75-2.78, 1 Zr 3.08
Zr: 0.5000 0.3060 0.1444  3 Te 2.75-2.78, 1 Zr 3.08

Results
ΔE_f (raw) = -175 meV per atom
E_tot = -198.348 eV per cell
Space group = Pnnm (58)
Density of states at the Fermi level = 0.5203 states/eV per atom

2.
Here is a crystal of ZrTe5 relaxed with PBEsol from Alexandria via LeMat-Bulk. Energies are from SCAN.

Lattice parameters (Å, degrees): 3.9675 7.5530 13.5878 90.00 90.00 105.23
Closest atoms and distances in Å follow each position.
Fractional coordinates of all 12 atoms:
Te: 0.3385 0.6769 0.7500  2 Zr 2.98, 4 Te 3.27
Te: 0.6615 0.3231 0.2500  2 Zr 2.98, 4 Te 3.27
Te: 0.0725 0.1451 0.6480  1 Te 2.77, 2 Zr 2.93
Te: 0.9275 0.8549 0.1480  1 Te 2.77, 2 Zr 2.93
Te: 0.0725 0.1451 0.8520  1 Te 2.77, 2 Zr 2.93
Te: 0.9275 0.8549 0.3520  1 Te 2.77, 2 Zr 2.93
Te: 0.7917 0.5833 0.9346  4 Te 2.93-3.27, 1 Zr 2.94
Te: 0.2083 0.4167 0.4346  4 Te 2.93-3.27, 1 Zr 2.94
Te: 0.7917 0.5833 0.5654  4 Te 2.93-3.27, 1 Zr 2.94
Te: 0.2083 0.4167 0.0654  4 Te 2.93-3.27, 1 Zr 2.94
Zr: 0.6859 0.3718 0.7500  8 Te 2.93-2.98
Zr: 0.3141 0.6282 0.2500  8 Te 2.93-2.98

Results
ΔE_f (raw) = -557 meV per atom
E_tot = -440.592 eV per cell
Space group = Cmcm (63)
Density of states at the Fermi level = 0.0766 states/eV per atom

3.
Here is a crystal of ZrTe3 relaxed with PBEsol from Alexandria via LeMat-Bulk. Energies are from SCAN.

Lattice parameters (Å, degrees): 3.8561 5.8756 10.0019 97.81 90.00 90.00
Closest atoms and distances in Å follow each position.
Fractional coordinates of all 8 atoms:
Te: 0.2500 0.2359 0.4426  4 Zr 2.96-3.14
Te: 0.7500 0.7641 0.5574  4 Zr 2.96-3.14
Te: 0.2500 0.5735 0.8350  2 Te 2.86-3.02, 2 Zr 2.91
Te: 0.7500 0.4265 0.1650  2 Te 2.86-3.02, 2 Zr 2.91
Te: 0.2500 0.0879 0.8408  2 Te 2.86-3.02, 2 Zr 2.93
Te: 0.7500 0.9121 0.1592  2 Te 2.86-3.02, 2 Zr 2.93
Zr: 0.2500 0.7106 0.3303  8 Te 2.91-3.14
Zr: 0.7500 0.2894 0.6697  8 Te 2.91-3.14

Results
ΔE_f (raw) = -781 meV per atom
E_tot = -291.153 eV per cell
Space group = P2_1/m (11)
Density of states at the Fermi level = 0.2516 states/eV per atom

4.
Here is a crystal of Zr3Te4 relaxed with PBEsol from Alexandria via LeMat-Bulk. Energies are from SCAN.

Lattice parameters (Å, degrees): 5.4734 6.0128 6.0128 120.00 90.00 90.00
Closest atoms and distances in Å follow each position.
Fractional coordinates of all 7 atoms:
Te: 0.7523 0.0000 0.0000  2 Te 2.71-2.76
Te: 0.2477 0.0000 0.0000  2 Te 2.71-2.76
Te: 0.5000 0.3333 0.6667  6 Zr 3.24, 3 Te 3.47
Te: 0.5000 0.6667 0.3333  6 Zr 3.24, 3 Te 3.47
Zr: 0.0000 0.0000 0.5000  4 Zr 3.01, 8 Te 3.24-3.30
Zr: 0.0000 0.5000 0.0000  4 Zr 3.01, 8 Te 3.24-3.30
Zr: 0.0000 0.5000 0.5000  4 Zr 3.01, 8 Te 3.24-3.30

Results
ΔE_f (raw) = -268 meV per atom
E_tot = -242.974 eV per cell
Space group = P6/mmm (191)
Density of states at the Fermi level = 0.7735 states/eV per atom

5.
Here is a crystal of Zr2Te relaxed with PBEsol from Alexandria via LeMat-Bulk. Energies are from SCAN.

Lattice parameters (Å, degrees): 3.5724 3.5724 6.4348 90.00 90.00 120.00
Closest atoms and distances in Å follow each position.
Fractional coordinates of all 3 atoms:
Te: 0.0000 0.0000 0.0000  6 Zr 2.93
Zr: 0.3333 0.6667 0.3235  3 Te 2.93, 3 Zr 3.07
Zr: 0.6667 0.3333 0.6765  3 Te 2.93, 3 Zr 3.07

Results
ΔE_f (raw) = -506 meV per atom
E_tot = -100.166 eV per cell
Space group = P-3m1 (164)
Density of states at the Fermi level = 0.2714 states/eV per atom

6.
Here is a crystal of Zr2Te relaxed with PBEsol from Alexandria via LeMat-Bulk. Energies are from SCAN.

Lattice parameters (Å, degrees): 3.8002 10.6260 19.8063 90.00 90.00 90.00
Closest atoms and distances in Å follow each position.
Fractional coordinates of all 36 atoms:
Te: 0.7500 0.1617 0.0727  9 Zr 2.85-3.14
Te: 0.2500 0.6617 0.4273  9 Zr 2.85-3.14
Te: 0.2500 0.8383 0.9273  9 Zr 2.85-3.14
Te: 0.7500 0.3383 0.5727  9 Zr 2.85-3.14
Te: 0.7500 0.2805 0.3689  7 Zr 2.82-2.94
Te: 0.2500 0.7805 0.1311  7 Zr 2.82-2.94
Te: 0.2500 0.7195 0.6311  7 Zr 2.82-2.94
Te: 0.7500 0.2195 0.8689  7 Zr 2.82-2.94
Te: 0.7500 0.9615 0.2596  8 Zr 2.89-3.12
Te: 0.2500 0.4615 0.2404  8 Zr 2.89-3.12
Te: 0.2500 0.0385 0.7404  8 Zr 2.89-3.12
Te: 0.7500 0.5385 0.7596  8 Zr 2.89-3.12
Zr: 0.7500 0.8536 0.3956  3 Te 2.86-2.93, 4 Zr 3.07-3.17
Zr: 0.2500 0.3536 0.1044  3 Te 2.86-2.93, 4 Zr 3.07-3.17
Zr: 0.2500 0.1464 0.6044  3 Te 2.86-2.93, 4 Zr 3.07-3.17
Zr: 0.7500 0.6464 0.8956  3 Te 2.86-2.93, 4 Zr 3.07-3.17
Zr: 0.7500 0.5413 0.3419  5 Te 2.82-2.89
Zr: 0.2500 0.0413 0.1581  5 Te 2.82-2.89
Zr: 0.2500 0.4587 0.6581  5 Te 2.82-2.89
Zr: 0.7500 0.9587 0.8419  5 Te 2.82-2.89
Zr: 0.7500 0.2477 0.2242  5 Te 2.89-3.14, 2 Zr 3.18
Zr: 0.2500 0.7477 0.2758  5 Te 2.89-3.14, 2 Zr 3.18
Zr: 0.2500 0.7523 0.7758  5 Te 2.89-3.14, 2 Zr 3.18
Zr: 0.7500 0.2523 0.7242  5 Te 2.89-3.14, 2 Zr 3.18
Zr: 0.7500 0.8877 0.0333  5 Te 2.88-3.01
Zr: 0.2500 0.3877 0.4667  5 Te 2.88-3.01
Zr: 0.2500 0.1123 0.9667  5 Te 2.88-3.01
Zr: 0.7500 0.6123 0.5333  5 Te 2.88-3.01
Zr: 0.7500 0.5785 0.1468  4 Te 2.88-2.93, 2 Zr 3.17
Zr: 0.2500 0.0785 0.3532  4 Te 2.88-2.93, 2 Zr 3.17
Zr: 0.2500 0.4215 0.8532  4 Te 2.88-2.93, 2 Zr 3.17
Zr: 0.7500 0.9215 0.6468  4 Te 2.88-2.93, 2 Zr 3.17
Zr: 0.7500 0.1095 0.4845  2 Te 2.92-2.99, 7 Zr 3.07-3.24
Zr: 0.2500 0.6095 0.0155  2 Te 2.92-2.99, 7 Zr 3.07-3.24
Zr: 0.2500 0.8905 0.5155  2 Te 2.92-2.99, 7 Zr 3.07-3.24
Zr: 0.7500 0.3905 0.9845  2 Te 2.92-2.99, 7 Zr 3.07-3.24

Results
ΔE_f (raw) = -735 meV per atom
E_tot = -1210.245 eV per cell
Space group = Pnma (62)
Density of states at the Fermi level = 0.5913 states/eV per atom

7.
Here is a crystal of Zr2Te relaxed with PBEsol from Alexandria via LeMat-Bulk. Energies are from SCAN.

Lattice parameters (Å, degrees): 3.4140 3.4140 12.3312 97.96 97.96 90.00
Closest atoms and distances in Å follow each position.
Fractional coordinates of all 6 atoms:
Te: 0.0000 0.0000 0.0000  8 Zr 2.98
Te: 0.2500 0.7500 0.5000  8 Zr 2.98
Zr: 0.4279 0.4279 0.8558  4 Te 2.98, 2 Zr 3.08
Zr: 0.8221 0.3221 0.6442  4 Te 2.98, 2 Zr 3.08
Zr: 0.5721 0.5721 0.1442  4 Te 2.98, 2 Zr 3.08
Zr: 0.6779 0.1779 0.3558  4 Te 2.98, 2 Zr 3.08

Results
ΔE_f (raw) = -248 meV per atom
E_tot = -198.784 eV per cell
Space group = I4_1/amd (141)
Density of states at the Fermi level = 0.8485 states/eV per atom

8.
Here is a crystal of Th relaxed with PBEsol from Alexandria via LeMat-Bulk. Energies are from SCAN.

Lattice parameters (Å, degrees): 3.4674 3.4674 5.9207 90.00 90.00 120.00
Closest atoms and distances in Å follow each position.
Fractional coordinates of all 2 atoms:
Th: 0.3333 0.6667 0.2500  12 Th 3.47-3.57
Th: 0.6667 0.3333 0.7500  12 Th 3.47-3.57

Results
E_tot = -191.754 eV per cell
Space group = P6_3/mmc (194)
Energy relative to the elements = 1.0 kcal/mol of atoms
Density of states at the Fermi level = 1.3381 states/eV per atom

9.
Here is a crystal of Th relaxed with PBEsol from Alexandria via LeMat-Bulk. Energies are from SCAN.

Lattice parameters (Å, degrees): 3.5157 3.5157 3.5157 60.00 60.00 60.00
Closest atoms and distances in Å follow each position.
Fractional coordinates of all 1 atoms:
Th: 0.0000 0.0000 0.0000  12 Th 3.52

Results
E_tot = -95.919 eV per cell
Space group = Fm-3m (225)
Energy relative to the elements = 0.0 kcal/mol of atoms
Density of states at the Fermi level = 1.1817 states/eV per atom

10.
Here is a crystal of Th relaxed with PBEsol from Alexandria via LeMat-Bulk. Energies are from SCAN.

Lattice parameters (Å, degrees): 4.9469 4.9469 4.9469 60.00 60.00 60.00
Closest atoms and distances in Å follow each position.
Fractional coordinates of all 2 atoms:
Th: 0.5000 0.5000 0.5000  4 Th 3.03
Th: 0.7500 0.7500 0.7500  4 Th 3.03

Results
E_tot = -187.816 eV per cell
Space group = Fd-3m (227)
Energy relative to the elements = 46.4 kcal/mol of atoms
Density of states at the Fermi level = 1.1789 states/eV per atom

11.
Here is a crystal of Th2Zn17 relaxed with PBEsol from Alexandria via LeMat-Bulk. Energies are from SCAN.

Lattice parameters (Å, degrees): 6.7197 6.7197 6.7197 82.88 82.88 82.88
Closest atoms and distances in Å follow each position.
Fractional coordinates of all 19 atoms:
Th: 0.3379 0.3379 0.3379  19 Zn 3.11-3.40
Th: 0.6621 0.6621 0.6621  19 Zn 3.11-3.40
Zn: 0.0000 0.5000 0.0000  10 Zn 2.55-2.71
Zn: 0.5000 0.0000 0.0000  10 Zn 2.55-2.71
Zn: 0.0000 0.0000 0.5000  10 Zn 2.55-2.71
Zn: 0.2917 0.0000 0.7083  8 Zn 2.55-2.72
Zn: 0.0000 0.7083 0.2917  8 Zn 2.55-2.72
Zn: 0.7083 0.2917 0.0000  8 Zn 2.55-2.72
Zn: 0.7083 0.0000 0.2917  8 Zn 2.55-2.72
Zn: 0.0000 0.2917 0.7083  8 Zn 2.55-2.72
Zn: 0.2917 0.7083 0.0000  8 Zn 2.55-2.72
Zn: 0.6498 0.6498 0.1599  9 Zn 2.54-2.82
Zn: 0.6498 0.1599 0.6498  9 Zn 2.54-2.82
Zn: 0.1599 0.6498 0.6498  9 Zn 2.54-2.82
Zn: 0.8401 0.3502 0.3502  9 Zn 2.54-2.82
Zn: 0.3502 0.3502 0.8401  9 Zn 2.54-2.82
Zn: 0.3502 0.8401 0.3502  9 Zn 2.54-2.82
Zn: 0.0989 0.0989 0.0989  7 Zn 2.57-2.82
Zn: 0.9011 0.9011 0.9011  7 Zn 2.57-2.82

Results
E_tot = -426.547 eV per cell
Space group = R-3m (166)
Energy relative to the elements = -6.0 kcal/mol of atoms
Density of states at the Fermi level = 0.2100 states/eV per atom

12.
Here is a crystal of Th2Zn relaxed with PBEsol from Alexandria via LeMat-Bulk. Energies are from SCAN.

Lattice parameters (Å, degrees): 5.4877 5.9732 5.9732 77.82 62.65 62.65
Closest atoms and distances in Å follow each position.
Fractional coordinates of all 6 atoms:
Zn: 0.2500 0.0000 0.0000  2 Zn 2.74
Zn: 0.7500 0.0000 0.0000  2 Zn 2.74
Th: 0.3415 0.8171 0.5000  4 Zn 3.14, 3 Th 3.36
Th: 0.8415 0.5000 0.8171  4 Zn 3.14, 3 Th 3.36
Th: 0.6585 0.1829 0.5000  4 Zn 3.14, 3 Th 3.36
Th: 0.1585 0.5000 0.1829  4 Zn 3.14, 3 Th 3.36

Results
E_tot = -411.728 eV per cell
Space group = I4/mcm (140)
Energy relative to the elements = -3.9 kcal/mol of atoms
Density of states at the Fermi level = 1.0158 states/eV per atom

13.
Here is a crystal of ThZn4 relaxed with PBEsol from Alexandria via LeMat-Bulk. Energies are from SCAN.

Lattice parameters (Å, degrees): 4.2232 4.2232 5.8686 111.09 111.09 90.00
Closest atoms and distances in Å follow each position.
Fractional coordinates of all 5 atoms:
Zn: 0.2500 0.7500 0.5000  4 Zn 2.50
Zn: 0.7500 0.2500 0.5000  4 Zn 2.50
Zn: 0.8815 0.8815 0.7631  5 Zn 2.39-2.50
Zn: 0.1185 0.1185 0.2369  5 Zn 2.39-2.50
Th: 0.5000 0.5000 0.0000  16 Zn 3.22-3.29

Results
E_tot = -151.683 eV per cell
Space group = I4/mmm (139)
Energy relative to the elements = -7.9 kcal/mol of atoms
Density of states at the Fermi level = 0.4639 states/eV per atom